## Hf2VCuF (PBE+U)

Data for a geometry-optimized Hf2VCuF structure.

Calculated values
calculated total energy = -6.0375 eV/atom
density of states at the Fermi level = 3.94 states/eV per cell

Unit cell a=5.1709 b=5.1709 c=3.6807 alpha=90.00 beta=90.00 gamma=90.00
Closest atoms and distances in Å follow each position.
Fractional coordinates of all 5 atoms:
Hf 0.0000 0.5000 0.0000  2 Cu 2.59
Hf 0.5000 0.0000 0.0000  2 Cu 2.59
V 0.0000 0.0000 0.5000  8 Hf 3.17
Cu 0.5000 0.5000 0.0000  2 F 1.84
F 0.5000 0.5000 0.5000  2 Cu 1.84

## HfVCu2F (PBE+U)

Data for a geometry-optimized HfVCu2F structure.

Calculated values
calculated total energy = -3.9382 eV/atom
density of states at the Fermi level = 3.44 states/eV per cell

Unit cell a=4.8853 b=4.8853 c=4.7540 alpha=90.00 beta=90.00 gamma=90.00
Closest atoms and distances in Å follow each position.
Fractional coordinates of all 5 atoms:
Hf 0.0000 0.0000 0.0000  2 V 2.38, 4 Cu 2.44
V 0.0000 0.0000 0.5000  2 Hf 2.38
Cu 0.0000 0.5000 0.0000  2 Hf 2.44
Cu 0.5000 0.0000 0.0000  2 Hf 2.44
F 0.5000 0.5000 0.5000  8 Cu 3.41, 4 V 3.45